Density functional theory data (PBE) for LaGdZnSn after structural relaxation.

The structure belongs to space group F-43m (No. 216); the cell edges are 7.573, 7.573 and 7.573 Å and the angles 90.00°, 90.00° and 90.00°. The asymmetric unit holds La at (0.000, 0.000, 0.000), Gd at (0.000, 0.000, 0.500), Zn at (0.250, 0.250, 0.750) and Sn at (0.250, 0.250, 0.250).

The value obtained for the energy of formation from the pure elements is -0.531 eV per atom. The magnetization is 7.2 μB per formula unit.

***

Density functional theory data (PBE) for PuMnGe after structural relaxation.

The structure belongs to space group I4mm (No. 107); the cell edges are 3.179, 3.179 and 10.693 Å and the angles 90.00°, 90.00° and 90.00°. The asymmetric unit holds Pu at (0.000, 0.000, 0.000), Mn at (0.000, 0.000, 0.677) and Ge at (0.000, 0.000, 0.293).

The value obtained for the energy of formation from the pure elements is -0.143 eV per atom. The magnetization is 2.9 μB per formula unit.

***

Density functional theory data (PBE) for AcDyHo3 after structural relaxation.

The structure belongs to space group C2/m (No. 12); the cell edges are 18.196, 4.890 and 8.569 Å and the angles 90.00°, 112.00° and 90.00°. The asymmetric unit holds Ac at (0.115, 0.000, 0.149), Dy at (0.188, 0.500, 0.889), Ho at (0.056, 0.000, 0.697), Ho at (0.085, 0.500, 0.448) and Ho at (0.227, 0.000, 0.628).

As for the energy above the lowest structure with this stoichiometry: 41 meV/atom. The value obtained for the energy of formation from the pure elements is 0.158 eV per atom. The magnetization is 0.0 μB per formula unit.

***

Density functional theory data (PBE) for SmMg6Hg12 after structural relaxation.

The structure belongs to space group Im-3 (No. 204); the cell edges are 9.826, 9.826 and 9.826 Å and the angles 90.00°, 90.00° and 90.00°. The asymmetric unit holds Sm at (0.000, 0.000, 0.000), Mg at (0.000, 0.155, 0.500) and Hg at (0.000, 0.276, 0.171).

The value obtained for the energy of formation from the pure elements is -0.120 eV per atom. The magnetization is 0.0 μB per formula unit.

***

Density functional theory data (PBE) for TaInPb2 after structural relaxation.

The structure belongs to space group Imm2 (No. 44); the cell edges are 3.768, 5.152 and 10.087 Å and the angles 90.00°, 90.00° and 90.00°. The asymmetric unit holds Ta at (0.000, 0.000, 0.000), In at (0.000, 0.500, 0.726), Pb at (0.000, 0.000, 0.486) and Pb at (0.000, 0.500, 0.259).

The value obtained for the energy of formation from the pure elements is 0.567 eV per atom. The magnetization is 0.0 μB per formula unit.

***

Density functional theory data (PBE) for Na2BeP2 after structural relaxation.

The structure belongs to space group P4/mbm (No. 127); the cell edges are 6.041, 6.041 and 4.704 Å and the angles 90.00°, 90.00° and 90.00°. The asymmetric unit holds Na at (0.174, 0.326, 0.000), Be at (0.000, 0.000, 0.500) and P at (0.133, 0.633, 0.500).

The value obtained for the energy of formation from the pure elements is -0.185 eV per atom. The magnetization is 0.0 μB per formula unit.

***

Density functional theory data (PBE) for PrTm4Fe after structural relaxation.

The structure belongs to space group C2/c (No. 15); the cell edges are 9.364, 12.475 and 5.984 Å and the angles 90.00°, 107.49° and 90.00°. The asymmetric unit holds Pr at (0.000, 0.106, 0.250), Tm at (0.104, 0.337, 0.556), Tm at (0.250, 0.092, 0.874) and Fe at (0.000, 0.498, 0.750).

The value obtained for the energy of formation from the pure elements is 0.042 eV per atom. The magnetization is 0.0 μB per formula unit.

***

Density functional theory data (PBE) for SrZnSn after structural relaxation.

The structure belongs to space group P6_3/mmc (No. 194); the cell edges are 4.6160, 4.6160 and 18.8167 Å and the angles 90.00°, 90.00° and 120.00°. The asymmetric unit holds Sr at (0.0000, 0.0000, 0.0000), Sr at (0.0000, 0.0000, 0.2500), Zn at (0.3333, 0.6667, 0.1259) and Sn at (0.3333, 0.6667, 0.6228).

The value obtained for the energy of formation from the pure elements is -0.505 eV per atom. The magnetization is 0.0 μB per formula unit.

***

Density functional theory data (PBE) for La11In9Co4 after structural relaxation.

The structure belongs to space group Cmmm (No. 65); the cell edges are 15.129, 22.428 and 3.833 Å and the angles 90.00°, 90.00° and 90.00°. The asymmetric unit holds La at (0.000, 0.000, 0.000), La at (0.000, 0.161, 0.000), La at (0.000, 0.375, 0.000), La at (0.185, 0.500, 0.000), La at (0.249, 0.332, 0.000), In at (0.000, 0.500, 0.500), In at (0.100, 0.265, 0.500), In at (0.153, 0.069, 0.500) and Co at (0.160, 0.395, 0.500).

The value obtained for the energy of formation from the pure elements is -0.418 eV per atom. The magnetization is 0.0 μB per formula unit.

***

Density functional theory data (PBE) for V2ZnP after structural relaxation.

The structure belongs to space group I-42d (No. 122); the cell edges are 3.571, 3.571 and 17.943 Å and the angles 90.00°, 90.00° and 90.00°. The asymmetric unit holds V at (0.232, 0.250, 0.125), Zn at (0.000, 0.000, 0.500) and P at (0.000, 0.000, 0.000).

As for the energy above the lowest structure with this stoichiometry: 447 meV/atom. The value obtained for the energy of formation from the pure elements is 0.217 eV per atom. The magnetization is 0.0 μB per formula unit.

***

Density functional theory data (PBE) for CeEuPbAu after structural relaxation.

The structure belongs to space group F-43m (No. 216); the cell edges are 7.732, 7.732 and 7.732 Å and the angles 90.00°, 90.00° and 90.00°. The asymmetric unit holds Ce at (0.000, 0.000, 0.000), Eu at (0.000, 0.000, 0.500), Pb at (0.250, 0.250, 0.750) and Au at (0.250, 0.250, 0.250).

The value obtained for the energy of formation from the pure elements is -0.559 eV per atom. The magnetization is 8.1 μB per formula unit.

***

Density functional theory data (PBE) for ScInMo2 after structural relaxation.

The structure belongs to space group P4mm (No. 99); the cell edges are 3.277, 3.277 and 6.911 Å and the angles 90.00°, 90.00° and 90.00°. The asymmetric unit holds Sc at (0.000, 0.000, 0.000), In at (0.500, 0.500, 0.296), Mo at (0.000, 0.000, 0.559) and Mo at (0.500, 0.500, 0.757).

The value obtained for the energy of formation from the pure elements is -0.090 eV per atom. The magnetization is 0.0 μB per formula unit.

***

Q: Number 10 is which compound?
A: V2ZnP

***

Q: Which of these has the highest magnetization?
A: CeEuPbAu

***

Q: magnetization of number 2 (PuMnGe)?
A: 2.9 μB per formula unit

***

Q: energy of formation from the pure elements of number 10 (V2ZnP)?
A: 0.217 eV per atom